{"formula": "Al2RhBr", "functional": "PBE", "state": "optimized geometry", "lattice_angstrom": [[-1.062, -2.860, -0.948], [1.878, 0.158, -2.580], [5.259, -3.157, 3.634]], "species": ["Rh", "Al", "Br", "Al"], "frac_coords": [[0.500, 0.500, 0.809], [0.000, 0.000, 0.965], [0.000, 0.000, 0.523], [0.500, 0.500, 0.203]], "raw_formation_energy_kj_per_mol_atoms": -7, "total_magnetization_mub_per_cell": 0.00, "e_above_lowest_polymorph_ev_per_atom": 0.445}